A plane-wave DFT calculation with PBE-GGA was carried out for LaAsOsBr2 after structural relaxation.

a = 5.1081 Å, b = 5.1081 Å, c = 4.7966 Å
α = 90.00°, β = 90.00°, γ = 90.00°
Fractional positions:
La 0.0000 0.0000 0.0000
As 0.5000 0.5000 0.0000
Os 0.5000 0.5000 0.5000
Br 0.0000 0.5000 0.5000
Br 0.5000 0.0000 0.5000

## Properties
Energy above the lowest structure with this stoichiometry in meV/atom: 0
Magnetic moment in μB/atom: 0.00
Raw formation energy in meV/atom: -119
Space-group type: P4/mmm (123)